Na3SmTm2Te6: optimized geometry, PBE-GGA.

It has space group C2/m (No. 12), with a = 7.663 Å, b = 13.273 Å, c = 7.987 Å, α = 90.00°, β = 108.67° and γ = 90.00°. The distinct sites, in fractional coordinates, are Na at (0.000, 0.000, 0.000), Na at (0.000, 0.336, 0.000), Sm at (0.000, 0.500, 0.500), Tm at (0.000, 0.167, 0.500), Te at (0.236, 0.000, 0.731) and Te at (0.248, 0.330, 0.732).



Na3SmU2Te6: optimized geometry, PBE-GGA.

It has space group C2/m (No. 12), with a = 7.703 Å, b = 13.343 Å, c = 8.029 Å, α = 90.00°, β = 108.64° and γ = 90.00°. The distinct sites, in fractional coordinates, are Na at (0.000, 0.000, 0.000), Na at (0.000, 0.335, 0.000), Sm at (0.000, 0.500, 0.500), U at (0.000, 0.167, 0.500), Te at (0.243, 0.000, 0.737) and Te at (0.247, 0.332, 0.737).



Na4SmU3Te8: optimized geometry, PBE-GGA.

It has space group R-3m (No. 166, hexagonal axes), with a = 8.8746 Å, b = 8.8746 Å, c = 22.8672 Å, α = 90.00°, β = 90.00° and γ = 120.00°. The distinct sites, in fractional coordinates, are Na at (0.0000, 0.0000, 0.0000), Na at (0.0000, 0.5000, 0.0000), Sm at (0.0000, 0.0000, 0.5000), U at (0.0000, 0.5000, 0.5000), Te at (0.0000, 0.0000, 0.2454) and Te at (0.0017, 0.5008, 0.7541).



no.,formation energy (no corrections) (meV/atom)
1,-1303
2,-949
3,-903